1.
A geometry-optimized Tb2SbRh structure, computed with GGA-PBE.

Results
E above lowest polymorph = 142.2 meV/atom
Raw formation energy = -0.813 eV per atom
SG = P4/mmm

Unit cell a=3.5487 b=3.5487 c=7.5717 alpha=90.00 beta=90.00 gamma=90.00
With the nearest neighbours (Å) after each atom.
Fractional coordinates of all 4 atoms:
Tb (0.0000, 0.0000, 0.2202)  4 Rh 3.01, 4 Sb 3.28, 1 Tb 3.33
Tb (0.0000, 0.0000, 0.7798)  4 Rh 3.01, 4 Sb 3.28, 1 Tb 3.33
Rh (0.5000, 0.5000, 0.0000)  8 Tb 3.01
Sb (0.5000, 0.5000, 0.5000)  8 Tb 3.28, 4 Sb 3.55



2.
A geometry-optimized KBSe2N structure, computed with GGA-PBE.

Results
E above lowest polymorph = 2591.4 meV/atom
Raw formation energy = 2.350 eV per atom
SG = P4/mmm

Unit cell a=5.9919 b=5.9919 c=5.0751 alpha=90.00 beta=90.00 gamma=90.00
With the nearest neighbours (Å) after each atom.
Fractional coordinates of all 5 atoms:
N (0.0000, 0.0000, 0.5000)  2 K 2.54
Se (0.5000, 0.0000, 0.0000)  2 K 3.00
Se (0.0000, 0.5000, 0.0000)  2 K 3.00
K (0.0000, 0.0000, 0.0000)  2 N 2.54
B (0.5000, 0.5000, 0.5000)  8 Se 3.93, 4 N 4.24



3.
A geometry-optimized BaTaP2O structure, computed with GGA-PBE.

Results
E above lowest polymorph = 0.0 meV/atom
Raw formation energy = -1.190 eV per atom
SG = P4/mmm

Unit cell a=5.0531 b=5.0531 c=4.0529 alpha=90.00 beta=90.00 gamma=90.00
With the nearest neighbours (Å) after each atom.
Fractional coordinates of all 5 atoms:
O (0.0000, 0.0000, 0.5000)  2 Ta 2.03
Ba (0.5000, 0.5000, 0.5000)  8 P 3.24, 4 O 3.57
P (0.5000, 0.0000, 0.0000)  2 Ta 2.53
P (0.0000, 0.5000, 0.0000)  2 Ta 2.53
Ta (0.0000, 0.0000, 0.0000)  2 O 2.03



4.
A geometry-optimized FeTc4P structure, computed with GGA-PBE.

Results
SG = F-43m
Energy of formation from the pure elements = 15.9 kcal/mol of atoms

Unit cell a=5.0869 b=5.0869 c=5.0869 alpha=60.00 beta=60.00 gamma=60.00
With the nearest neighbours (Å) after each atom.
Fractional coordinates of all 6 atoms:
Tc (0.3747, 0.3747, 0.8760)  6 Tc 2.54-2.55
Tc (0.8760, 0.3747, 0.3747)  6 Tc 2.54-2.55
Tc (0.3747, 0.3747, 0.3747)  6 Tc 2.54-2.55
Tc (0.3747, 0.8760, 0.3747)  6 Tc 2.54-2.55
Fe (0.7500, 0.7500, 0.7500)  12 Tc 2.98, 4 P 3.12
P (0.0000, 0.0000, 0.0000)  12 Tc 2.98, 4 Fe 3.12



5.
A geometry-optimized Pm6Er8Cd structure, computed with GGA-PBE.

Results
SG = P-3
Energy of formation from the pure elements = 1.9 kcal/mol of atoms

Unit cell a=6.2560 b=9.4502 c=9.4502 alpha=120.00 beta=90.00 gamma=90.00
With the nearest neighbours (Å) after each atom.
Fractional coordinates of all 15 atoms:
Pm (0.3087, 0.0904, 0.4540)  1 Pm 3.30, 6 Er 3.40-3.65
Pm (0.6913, 0.6363, 0.0904)  1 Pm 3.30, 6 Er 3.40-3.65
Pm (0.3087, 0.5460, 0.6363)  1 Pm 3.30, 6 Er 3.40-3.65
Pm (0.6913, 0.4540, 0.3637)  1 Pm 3.30, 6 Er 3.40-3.65
Pm (0.3087, 0.3637, 0.9096)  1 Pm 3.30, 6 Er 3.40-3.65
Pm (0.6913, 0.9096, 0.5460)  1 Pm 3.30, 6 Er 3.40-3.65
Er (0.1869, 0.6667, 0.3333)  3 Er 3.42, 9 Pm 3.65-3.83
Er (0.8068, 0.0410, 0.2615)  1 Cd 3.00, 2 Er 3.34
Er (0.1932, 0.7795, 0.0410)  1 Cd 3.00, 2 Er 3.34
Er (0.1932, 0.9590, 0.7385)  1 Cd 3.00, 2 Er 3.34
Er (0.1932, 0.2615, 0.2205)  1 Cd 3.00, 2 Er 3.34
Er (0.8131, 0.3333, 0.6667)  3 Er 3.42, 9 Pm 3.65-3.83
Er (0.8068, 0.2205, 0.9590)  1 Cd 3.00, 2 Er 3.34
Er (0.8068, 0.7385, 0.7795)  1 Cd 3.00, 2 Er 3.34
Cd (0.5000, 0.0000, 0.0000)  6 Er 3.00



6.
A geometry-optimized K3SiSe3 structure, computed with GGA-PBE.

Results
E above lowest polymorph = 0.0 meV/atom
Raw formation energy = -0.937 eV per atom
SG = Pnma

Unit cell a=4.7464 b=13.1780 c=14.2149 alpha=90.00 beta=90.00 gamma=90.00
With the nearest neighbours (Å) after each atom.
Fractional coordinates of all 28 atoms:
Si (0.7500, 0.4421, 0.2968)  4 Se 2.35-2.59
Si (0.7500, 0.9421, 0.2032)  4 Se 2.35-2.59
Si (0.2500, 0.5579, 0.7032)  4 Se 2.35-2.59
Si (0.2500, 0.0579, 0.7968)  4 Se 2.35-2.59
Se (0.7500, 0.2849, 0.3753)  1 Si 2.35
Se (0.7500, 0.9090, 0.3659)  1 Si 2.35
Se (0.2500, 0.7151, 0.6247)  1 Si 2.35
Se (0.2500, 0.0910, 0.6341)  1 Si 2.35
Se (0.2500, 0.5133, 0.3285)  2 Si 2.59
Se (0.2500, 0.2151, 0.8753)  1 Si 2.35
Se (0.7500, 0.7849, 0.1247)  1 Si 2.35
Se (0.7500, 0.4867, 0.6715)  2 Si 2.59
Se (0.2500, 0.0133, 0.1715)  2 Si 2.59
Se (0.7500, 0.4090, 0.1341)  1 Si 2.35
Se (0.7500, 0.9867, 0.8285)  2 Si 2.59
Se (0.2500, 0.5910, 0.8659)  1 Si 2.35
K (0.7500, 0.4196, 0.8990)  6 Se 3.31-3.61, 1 K 3.63
K (0.2500, 0.2671, 0.2112)  5 Se 3.21-3.39, 2 Si 3.53
K (0.7500, 0.2329, 0.7112)  5 Se 3.21-3.39, 2 Si 3.53
K (0.2500, 0.8687, 0.9825)  5 Se 3.29-3.58, 1 Si 3.63
K (0.7500, 0.9196, 0.6010)  6 Se 3.31-3.61, 1 K 3.63
K (0.2500, 0.3687, 0.5175)  5 Se 3.29-3.58, 1 Si 3.63
K (0.7500, 0.7329, 0.7888)  5 Se 3.21-3.39, 2 Si 3.53
K (0.2500, 0.0804, 0.3990)  6 Se 3.31-3.61, 1 K 3.63
K (0.7500, 0.6313, 0.4825)  5 Se 3.29-3.58, 1 Si 3.63
K (0.2500, 0.7671, 0.2888)  5 Se 3.21-3.39, 2 Si 3.53
K (0.7500, 0.1313, 0.0175)  5 Se 3.29-3.58, 1 Si 3.63
K (0.2500, 0.5804, 0.1010)  6 Se 3.31-3.61, 1 K 3.63



7.
A geometry-optimized Pm2AlNi2 structure, computed with GGA-PBE.

Results
SG = Immm
Energy of formation from the pure elements = -10.6 kcal/mol of atoms

Unit cell a=4.2388 b=5.5235 c=5.5238 alpha=59.36 beta=67.44 gamma=67.44
With the nearest neighbours (Å) after each atom.
Fractional coordinates of all 5 atoms:
Ni (0.0000, 0.7616, 0.7383)  2 Al 2.56, 2 Ni 2.61-2.86
Ni (0.0000, 0.2384, 0.2617)  2 Al 2.56, 2 Ni 2.61-2.86
Al (0.5000, 0.5000, 0.0000)  4 Ni 2.56
Pm (0.2985, 0.2015, 0.7015)  6 Ni 2.94-3.03, 2 Al 3.24
Pm (0.7015, 0.7985, 0.2985)  6 Ni 2.94-3.03, 2 Al 3.24



8.
A geometry-optimized Zr2TcHIr structure, computed with GGA-PBE.

Results
E above lowest polymorph = 31.5 meV/atom
SG = P4/mmm

Unit cell a=4.5956 b=4.5956 c=3.5549 alpha=90.00 beta=90.00 gamma=90.00
With the nearest neighbours (Å) after each atom.
Fractional coordinates of all 5 atoms:
Zr (0.5000, 0.0000, 0.0000)  2 H 2.30
Zr (0.0000, 0.5000, 0.0000)  2 H 2.30
Tc (0.5000, 0.5000, 0.5000)  8 Zr 2.91, 4 Ir 3.25
H (0.0000, 0.0000, 0.0000)  2 Ir 1.78
Ir (0.0000, 0.0000, 0.5000)  2 H 1.78



9.
A geometry-optimized KPu4Hg5 structure, computed with GGA-PBE.

Results
SG = P4/mmm
Energy of formation from the pure elements = -2.4 kcal/mol of atoms

Unit cell a=3.5389 b=3.5389 c=21.9909 alpha=90.00 beta=90.00 gamma=90.00
With the nearest neighbours (Å) after each atom.
Fractional coordinates of all 10 atoms:
Hg (0.5000, 0.5000, 0.6930)  8 Pu 3.27-3.28, 4 Hg 3.54
Hg (0.5000, 0.5000, 0.8827)  4 Pu 3.25, 4 Hg 3.54, 4 K 3.59
Hg (0.5000, 0.5000, 0.1173)  4 Pu 3.25, 4 Hg 3.54, 4 K 3.59
Hg (0.5000, 0.5000, 0.3070)  8 Pu 3.27-3.28, 4 Hg 3.54
Hg (0.5000, 0.5000, 0.5000)  8 Pu 3.28, 4 Hg 3.54
Pu (0.0000, 0.0000, 0.2112)  8 Hg 3.25-3.27, 4 Pu 3.54
Pu (0.0000, 0.0000, 0.5964)  8 Hg 3.28, 4 Pu 3.54
Pu (0.0000, 0.0000, 0.7888)  8 Hg 3.25-3.27, 4 Pu 3.54
Pu (0.0000, 0.0000, 0.4036)  8 Hg 3.28, 4 Pu 3.54
K (0.0000, 0.0000, 0.0000)  4 K 3.54, 8 Hg 3.59



10.
A geometry-optimized Sb4Au3 structure, computed with GGA-PBE.

Results
E above lowest polymorph = 45.1 meV/atom
Raw formation energy = 0.124 eV per atom
SG = I4/mmm

Unit cell a=13.4550 b=13.4550 c=13.4550 alpha=164.91 beta=164.91 gamma=21.41
With the nearest neighbours (Å) after each atom.
Fractional coordinates of all 7 atoms:
Sb (0.1603, 0.1603, 0.0000)  5 Au 2.94-3.19
Sb (0.5639, 0.5639, 0.0000)  4 Au 3.02, 1 Sb 3.38
Sb (0.4361, 0.4361, 0.0000)  4 Au 3.02, 1 Sb 3.38
Sb (0.8397, 0.8397, 0.0000)  5 Au 2.94-3.19
Au (0.2808, 0.2808, 0.0000)  5 Sb 2.94-3.19, 4 Au 2.98
Au (0.0000, 0.0000, 0.0000)  8 Sb 3.02
Au (0.7192, 0.7192, 0.0000)  5 Sb 2.94-3.19, 4 Au 2.98



11.
A geometry-optimized AsRuPt3 structure, computed with GGA-PBE.

Results
E above lowest polymorph = 0.0 meV/atom
SG = Pm-3m
Energy of formation from the pure elements = 21.2 kcal/mol of atoms

Unit cell a=4.6329 b=4.6329 c=4.6329 alpha=90.00 beta=90.00 gamma=90.00
With the nearest neighbours (Å) after each atom.
Fractional coordinates of all 5 atoms:
As (0.0000, 0.0000, 0.0000)  6 Pt 2.32
Pt (0.0000, 0.0000, 0.5000)  2 As 2.32
Pt (0.0000, 0.5000, 0.0000)  2 As 2.32
Pt (0.5000, 0.0000, 0.0000)  2 As 2.32
Ru (0.5000, 0.5000, 0.5000)  12 Pt 3.28



12.
A geometry-optimized NaAcEuSi structure, computed with GGA-PBE.

Results
Raw formation energy = -0.125 eV per atom
SG = F-43m

Unit cell a=5.5171 b=5.5171 c=5.5171 alpha=60.00 beta=60.00 gamma=60.00
With the nearest neighbours (Å) after each atom.
Fractional coordinates of all 4 atoms:
Ac (0.0000, 0.0000, 0.0000)  4 Na 3.38, 4 Si 3.38
Na (0.7500, 0.7500, 0.7500)  4 Eu 3.38, 4 Ac 3.38
Si (0.2500, 0.2500, 0.2500)  4 Ac 3.38, 4 Eu 3.38
Eu (0.5000, 0.5000, 0.5000)  4 Na 3.38, 4 Si 3.38